# 1
Below is a relaxed CuAg3B crystal, with properties calculated at the PBE level.

Unit cell a=4.7877 b=4.7877 c=4.7877 alpha=90.00 beta=90.00 gamma=90.00
Space group Pm-3m (No. 221)
Symmetry-distinct sites (fractional):
Cu (0.0000, 0.0000, 0.0000)
Ag (0.0000, 0.0000, 0.5000)
B (0.5000, 0.5000, 0.5000)

Computed properties:
The calculation puts the raw total energy at -0.0880 Ha/atom. As for the total magnetization: 0.000 μB/atom.



# 2
Below is a relaxed Ga2CuAgB crystal, with properties calculated at the PBE level.

Unit cell a=4.8216 b=4.8216 c=4.8300 alpha=90.00 beta=90.00 gamma=90.00
Space group P4/mmm (No. 123)
Symmetry-distinct sites (fractional):
Ga (0.0000, 0.5000, 0.0000)
Cu (0.0000, 0.0000, 0.5000)
Ag (0.0000, 0.0000, 0.0000)
B (0.5000, 0.5000, 0.5000)

Computed properties:
The calculation puts the raw total energy at -0.0947 Ha/atom. As for the total magnetization: 0.000 μB/atom.



# 3
Below is a relaxed CuAgBI2 crystal, with properties calculated at the PBE level.

Unit cell a=5.6104 b=5.6104 c=3.9123 alpha=90.00 beta=90.00 gamma=90.00
Space group P4/mmm (No. 123)
Symmetry-distinct sites (fractional):
Cu (0.0000, 0.0000, 0.0000)
Ag (0.5000, 0.5000, 0.5000)
B (0.0000, 0.0000, 0.5000)
I (0.0000, 0.5000, 0.0000)

Computed properties:
Its raw formation energy is 15.694 kcal/mol of atoms. As for the total magnetization: 0.000 μB/atom.



# 4
Below is a relaxed KCu2AgB crystal, with properties calculated at the PBE level.

Unit cell a=4.1377 b=4.1377 c=5.3981 alpha=90.00 beta=90.00 gamma=90.00
Space group P4/mmm (No. 123)
Symmetry-distinct sites (fractional):
K (0.0000, 0.0000, 0.0000)
Cu (0.0000, 0.5000, 0.5000)
Ag (0.5000, 0.5000, 0.0000)
B (0.0000, 0.0000, 0.5000)

Computed properties:
The calculation puts the raw total energy at -0.1125 Ha/atom. As for the total magnetization: 0.000 μB/atom.



# 5
Below is a relaxed Cu2AgBOs crystal, with properties calculated at the PBE level.

Unit cell a=3.9786 b=3.9786 c=4.2091 alpha=90.00 beta=90.00 gamma=90.00
Space group P4/mmm (No. 123)
Symmetry-distinct sites (fractional):
Cu (0.0000, 0.5000, 0.0000)
Ag (0.0000, 0.0000, 0.5000)
B (0.0000, 0.0000, 0.0000)
Os (0.5000, 0.5000, 0.5000)

Computed properties:
The calculation puts the raw total energy at -0.1776 Ha/atom. As for the total magnetization: 0.298 μB/atom.



# 6
Below is a relaxed Cu2AgBPt crystal, with properties calculated at the PBE level.

Unit cell a=4.0814 b=4.0814 c=4.0832 alpha=90.00 beta=90.00 gamma=90.00
Space group P4/mmm (No. 123)
Symmetry-distinct sites (fractional):
Cu (0.0000, 0.5000, 0.0000)
Ag (0.0000, 0.0000, 0.5000)
B (0.5000, 0.5000, 0.0000)
Pt (0.5000, 0.5000, 0.5000)

Computed properties:
The calculation puts the raw total energy at -0.1728 Ha/atom. As for the total magnetization: 0.000 μB/atom.